1.
Computed, not measured: a relaxed structure of CoCu2Ag at the GGA-PBEsol level of DFT.

* DOS at the Fermi energy: 4.12 states/eV/cell
* energy of formation: 0.33 eV/atom
* magnetic moment: 0.3672 μB per atom
* excess energy over the best structure of this formula in the dataset: 101 meV per atom

abc: 2.676 4.324 4.362
angles: 90.00 90.00 90.00
Atoms (fractional coordinates):
Co (0.000, 0.000, 0.000)
Cu (0.000, 0.500, 0.500)
Cu (0.500, 0.500, 0.000)
Ag (0.500, 0.000, 0.500)

2.
Computed, not measured: a relaxed structure of CoCuAg2 at the GGA-PBEsol level of DFT.

* DOS at the Fermi energy: 7.29 states/eV/cell
* energy of formation: 0.41 eV/atom
* magnetic moment: 0.3918 μB per atom
* excess energy over the best structure of this formula in the dataset: 85 meV per atom

abc: 4.295 4.295 4.295
angles: 60.00 60.00 60.00
Atoms (fractional coordinates):
Co (0.000, 0.000, 0.000)
Cu (0.250, 0.250, 0.250)
Ag (0.500, 0.500, 0.500)
Ag (0.750, 0.750, 0.750)

3.
Computed, not measured: a relaxed structure of CoCu2Ag at the GGA-PBEsol level of DFT.

* DOS at the Fermi energy: 4.13 states/eV/cell
* energy of formation: 0.26 eV/atom
* magnetic moment: 0.3763 μB per atom
* excess energy over the best structure of this formula in the dataset: 32 meV per atom

abc: 4.497 4.497 4.551
angles: 99.50 99.50 33.38
Atoms (fractional coordinates):
Co (0.000, 0.000, 0.000)
Cu (0.256, 0.256, 0.773)
Cu (0.510, 0.510, 0.530)
Ag (0.755, 0.755, 0.269)

4.
Computed, not measured: a relaxed structure of CoCu2Ag at the GGA-PBEsol level of DFT.

* DOS at the Fermi energy: 3.13 states/eV/cell
* energy of formation: 0.23 eV/atom
* magnetic moment: 0.4068 μB per atom
* excess energy over the best structure of this formula in the dataset: 0 meV per atom

abc: 8.606 8.606 8.606
angles: 17.49 17.49 17.49
Atoms (fractional coordinates):
Co (0.000, 0.000, 0.000)
Cu (0.489, 0.489, 0.489)
Cu (0.744, 0.744, 0.744)
Ag (0.245, 0.245, 0.245)

What is the formula in the fourth record? CoCu2Ag